SmSc2Al6 after structural relaxation. Source: Alexandria via LeMat-Bulk, functional PBE-GGA.

Uncorrected energy, eV/cell: -42.4
Energy relative to the lowest polymorph listed for this composition, kJ/mol of formula units: 141
M_tot, μB per cell: 0.000
Symmetry: Immm, No. 71
ΔE_f, eV per atom: -0.29

a b c (Å): 7.7040 7.7040 7.7040
angles (deg): 147.78 125.80 64.47
Atoms (fractional coordinates):
1 Sm 0.0000 0.0000 0.0000
2 Sc 0.3796 0.8796 0.5000
3 Sc 0.6204 0.1204 0.5000
4 Al 0.0086 0.3103 0.6982
5 Al 0.3186 0.5000 0.8186
6 Al 0.3879 0.6897 0.6982
7 Al 0.6121 0.3103 0.3018
8 Al 0.6814 0.5000 0.1814
9 Al 0.9914 0.6897 0.3018